1.
Density functional theory data (PBE) for MnZn after structural relaxation.

**DOS at the Fermi energy**: 0.677 states/eV/atom
**Space-group type**: No. 8
**Raw total energy**: -5.0956 eV/atom
**Volume**: 13.58 A^3/atom

Cell lengths 5.2572, 5.2572, 6.0932 Å; angles 74.43, 74.43, 30.25 degrees
Closest atoms and distances in Å follow each position.
Fractional positions:
Mn 0.9935 0.9935 0.0190  6 Mn 2.57-2.74, 6 Zn 2.64-2.86
Mn 0.6204 0.6204 0.2542  5 Mn 2.57-2.77, 6 Zn 2.61-2.67
Mn 0.6540 0.6540 0.6899  5 Mn 2.60-2.77, 6 Zn 2.61-2.68
Zn 0.3241 0.3241 0.3482  7 Mn 2.64-2.90, 5 Zn 2.65-2.74
Zn 0.9556 0.9556 0.5949  5 Mn 2.63-2.72, 6 Zn 2.65-2.74
Zn 0.2857 0.2857 0.9272  7 Mn 2.61-2.86, 5 Zn 2.65-2.74

---

2.
Density functional theory data (PBE) for Ba2TlSb2 after structural relaxation.

**DOS at the Fermi energy**: 0.499 states/eV/atom
**Space-group type**: No. 127
**Raw total energy**: -3.6658 eV/atom
**Volume**: 38.45 A^3/atom

Cell lengths 8.7904, 8.7904, 4.9762 Å; angles 90.00, 90.00, 90.00 degrees
Closest atoms and distances in Å follow each position.
Fractional positions:
Sb 0.3840 0.8840 0.0000  1 Sb 2.88
Sb 0.8840 0.6160 0.0000  1 Sb 2.88
Sb 0.6160 0.1160 0.0000  1 Sb 2.88
Sb 0.1160 0.3840 0.0000  1 Sb 2.88
Tl 0.0000 0.0000 0.0000  4 Sb 3.53
Tl 0.5000 0.5000 0.0000  4 Sb 3.53
Ba 0.1793 0.6793 0.5000  6 Sb 3.56-3.64
Ba 0.6793 0.8207 0.5000  6 Sb 3.56-3.64
Ba 0.8207 0.3207 0.5000  6 Sb 3.56-3.64
Ba 0.3207 0.1793 0.5000  6 Sb 3.56-3.64

---

3.
Density functional theory data (PBE) for SrCaCr2S after structural relaxation.

**DOS at the Fermi energy**: 0.434 states/eV/atom
**Space-group type**: No. 123
**Raw total energy**: -4.7913 eV/atom
**Volume**: 32.52 A^3/atom

Cell lengths 5.6040, 5.1778, 5.6040 Å; angles 90.00, 90.00, 90.00 degrees
Closest atoms and distances in Å follow each position.
Fractional positions:
Sr 0.5000 0.5000 0.5000  8 Cr 3.81, 4 S 3.96
Ca 0.0000 0.0000 0.0000  2 S 2.59, 4 Cr 2.80
S 0.0000 0.5000 0.0000  2 Ca 2.59
Cr 0.0000 0.0000 0.5000  2 Ca 2.80
Cr 0.5000 0.0000 0.0000  2 Ca 2.80

---

4.
Density functional theory data (PBE) for UPdPt after structural relaxation.

**DOS at the Fermi energy**: 1.433 states/eV/atom
**Space-group type**: No. 187
**Raw total energy**: -7.9965 eV/atom
**Volume**: 18.65 A^3/atom

Cell lengths 2.9405, 4.6878, 4.6878 Å; angles 120.00, 90.00, 90.00 degrees
Closest atoms and distances in Å follow each position.
Fractional positions:
U 0.0000 0.0000 0.0000  2 U 2.94, 6 Pd 3.08, 6 Pt 3.08
Pd 0.4999 0.3333 0.6667  3 Pt 2.71, 2 Pd 2.94
Pt 0.5001 0.6667 0.3333  3 Pd 2.71, 2 Pt 2.94

---

5.
Density functional theory data (PBE) for TbZnNi2 after structural relaxation.

**DOS at the Fermi energy**: 0.724 states/eV/atom
**Space-group type**: No. 123
**Raw total energy**: -4.6133 eV/atom
**Volume**: 15.76 A^3/atom

Cell lengths 3.2150, 3.2150, 6.0986 Å; angles 90.00, 90.00, 90.00 degrees
Closest atoms and distances in Å follow each position.
Fractional positions:
Ni 0.0000 0.0000 0.7962  1 Ni 2.49, 4 Zn 2.59
Ni 0.0000 0.0000 0.2038  1 Ni 2.49, 4 Zn 2.59
Zn 0.5000 0.5000 0.0000  8 Ni 2.59
Tb 0.5000 0.5000 0.5000  8 Ni 2.90, 2 Zn 3.05, 4 Tb 3.21

---

6.
Density functional theory data (PBE) for CeDyIn after structural relaxation.

**DOS at the Fermi energy**: 2.206 states/eV/atom
**Space-group type**: No. 187
**Raw total energy**: -4.5033 eV/atom
**Volume**: 26.66 A^3/atom

Cell lengths 3.2019, 5.3705, 5.3705 Å; angles 120.00, 90.00, 90.00 degrees
Closest atoms and distances in Å follow each position.
Fractional positions:
In 0.6667 0.6667 0.3333  2 In 3.20, 6 Dy 3.49, 6 Ce 3.49
Ce 0.1673 0.3333 0.6667  3 Dy 3.10, 2 Ce 3.20
Dy 0.1660 0.0000 0.0000  3 Ce 3.10, 2 Dy 3.20

---

7.
Density functional theory data (PBE) for Sr2Mg6Al after structural relaxation.

**DOS at the Fermi energy**: 0.588 states/eV/atom
**Space-group type**: No. 12
**Raw total energy**: -1.9023 eV/atom
**Volume**: 28.00 A^3/atom

Cell lengths 6.7633, 6.3546, 6.9831 Å; angles 83.79, 90.00, 122.15 degrees
Closest atoms and distances in Å follow each position.
Fractional positions:
Sr 0.6622 0.3244 0.1245  9 Mg 3.50-3.77, 1 Al 3.63
Sr 0.3378 0.6756 0.8755  9 Mg 3.50-3.77, 1 Al 3.63
Mg 0.8405 0.2183 0.6499  4 Mg 2.95-3.22, 1 Al 3.15
Mg 0.8602 0.7204 0.6853  1 Al 2.82, 2 Mg 2.95
Mg 0.3778 0.2183 0.6499  4 Mg 2.95-3.22, 1 Al 3.15
Mg 0.1595 0.7817 0.3501  4 Mg 2.95-3.22, 1 Al 3.15
Mg 0.1398 0.2796 0.3147  1 Al 2.82, 2 Mg 2.95
Mg 0.6222 0.7817 0.3501  4 Mg 2.95-3.22, 1 Al 3.15
Al 0.0000 0.0000 0.0000  6 Mg 2.82-3.15

---

8.
Density functional theory data (PBE) for Cr4Ir2Rh5 after structural relaxation.

**DOS at the Fermi energy**: 1.197 states/eV/atom
**Space-group type**: No. 12
**Raw total energy**: -8.2742 eV/atom
**Volume**: 14.25 A^3/atom

Cell lengths 4.0648, 4.7841, 8.8715 Å; angles 110.43, 103.24, 90.00 degrees
Closest atoms and distances in Å follow each position.
Fractional positions:
Cr 0.2823 0.4626 0.5646  2 Cr 2.41, 1 Ir 2.42, 6 Rh 2.56-2.67
Cr 0.0297 0.7396 0.0595  1 Cr 2.15
Cr 0.7177 0.5374 0.4354  2 Cr 2.41, 1 Ir 2.42, 6 Rh 2.56-2.67
Cr 0.9703 0.2604 0.9405  1 Cr 2.15
Ir 0.4151 0.3970 0.8302  3 Cr 2.42-2.43
Ir 0.5849 0.6030 0.1698  3 Cr 2.42-2.43
Rh 0.8763 0.7273 0.7525  5 Cr 2.48-2.63, 2 Rh 2.68-2.69
Rh 0.1237 0.2727 0.2475  5 Cr 2.48-2.63, 2 Rh 2.68-2.69
Rh 0.8007 0.1289 0.6013  5 Cr 2.67-2.81, 4 Rh 2.68-2.69, 2 Ir 2.80
Rh 0.5000 0.0000 0.0000  4 Cr 2.53, 4 Ir 2.73-2.78
Rh 0.1993 0.8711 0.3987  5 Cr 2.67-2.81, 4 Rh 2.68-2.69, 2 Ir 2.80

---

9.
Density functional theory data (PBE) for Cs5K3I12 after structural relaxation.

**DOS at the Fermi energy**: 0.709 states/eV/atom
**Space-group type**: No. 230
**Raw total energy**: -2.3197 eV/atom
**Volume**: 64.87 A^3/atom

Cell lengths 18.8907, 18.8907, 18.8907 Å; angles 109.47, 109.47, 109.47 degrees
Closest atoms and distances in Å follow each position.
Fractional positions:
K 0.7500 0.3750 0.1250  4 I 3.57
K 0.8750 0.7500 0.1250  4 I 3.57
K 0.3750 0.7500 0.6250  4 I 3.57
K 0.2500 0.1250 0.3750  4 I 3.57
K 0.8750 0.1250 0.2500  4 I 3.57
K 0.3750 0.6250 0.2500  4 I 3.57
K 0.6250 0.3750 0.7500  4 I 3.57
K 0.1250 0.8750 0.7500  4 I 3.57
K 0.7500 0.8750 0.6250  4 I 3.57
K 0.6250 0.2500 0.3750  4 I 3.57
K 0.1250 0.2500 0.8750  4 I 3.57
K 0.2500 0.6250 0.8750  4 I 3.57
Cs 0.1250 0.3750 0.2500  4 I 3.70
Cs 0.0000 0.5000 0.0000  6 I 4.00
Cs 0.0000 0.0000 0.0000  6 I 4.00
Cs 0.3750 0.2500 0.1250  4 I 3.70
Cs 0.5000 0.0000 0.5000  6 I 4.00
Cs 0.5000 0.5000 0.0000  6 I 4.00
Cs 0.1250 0.7500 0.3750  4 I 3.70
Cs 0.7500 0.1250 0.8750  4 I 3.70
Cs 0.7500 0.6250 0.3750  4 I 3.70
Cs 0.3750 0.1250 0.7500  4 I 3.70
Cs 0.6250 0.8750 0.2500  4 I 3.70
Cs 0.5000 0.5000 0.5000  6 I 4.00
Cs 0.5000 0.0000 0.0000  6 I 4.00
Cs 0.0000 0.0000 0.5000  6 I 4.00
Cs 0.2500 0.3750 0.6250  4 I 3.70
Cs 0.2500 0.8750 0.1250  4 I 3.70
Cs 0.0000 0.5000 0.5000  6 I 4.00
Cs 0.8750 0.2500 0.6250  4 I 3.70
Cs 0.6250 0.7500 0.8750  4 I 3.70
Cs 0.8750 0.6250 0.7500  4 I 3.70
I 0.7496 0.1458 0.0769  1 I 3.55, 1 K 3.57, 1 Cs 3.70
I 0.3273 0.5769 0.4310  1 I 3.55, 1 K 3.57, 1 Cs 3.70
I 0.9231 0.3542 0.2504  1 I 3.55, 1 K 3.57, 1 Cs 3.70
I 0.5769 0.2496 0.1458  1 I 3.55, 1 K 3.57, 1 Cs 3.70
I 0.6038 0.7496 0.6727  1 I 3.55, 1 K 3.57, 1 Cs 3.70
I 0.9231 0.5690 0.1727  1 I 3.55, 1 K 3.57, 1 Cs 3.70
I 0.3273 0.7504 0.3962  1 I 3.55, 1 K 3.57, 1 Cs 3.70
I 0.0690 0.8962 0.1458  1 I 3.55, 1 K 3.57, 1 Cs 3.70
I 0.5690 0.9231 0.6727  1 I 3.55, 1 K 3.57, 1 Cs 3.70
I 0.7496 0.6038 0.1727  1 I 3.55, 1 K 3.57, 1 Cs 3.70
I 0.7504 0.4231 0.3542  1 I 3.55, 1 K 3.57, 1 Cs 3.70
I 0.8273 0.9310 0.0769  1 I 3.55, 1 K 3.57, 1 Cs 3.70
I 0.1458 0.7496 0.5769  1 I 3.55, 1 K 3.57, 1 Cs 3.70
I 0.3542 0.4310 0.1038  1 I 3.55, 1 K 3.57, 1 Cs 3.70
I 0.1038 0.9310 0.3542  1 I 3.55, 1 K 3.57, 1 Cs 3.70
I 0.3962 0.1458 0.5690  1 I 3.55, 1 K 3.57, 1 Cs 3.70
I 0.1038 0.1727 0.2496  1 I 3.55, 1 K 3.57, 1 Cs 3.70
I 0.4231 0.6727 0.0690  1 I 3.55, 1 K 3.57, 1 Cs 3.70
I 0.8273 0.8962 0.2504  1 I 3.55, 1 K 3.57, 1 Cs 3.70
I 0.1458 0.3962 0.0690  1 I 3.55, 1 K 3.57, 1 Cs 3.70
I 0.3542 0.9231 0.7504  1 I 3.55, 1 K 3.57, 1 Cs 3.70
I 0.5690 0.6458 0.3962  1 I 3.55, 1 K 3.57, 1 Cs 3.70
I 0.9310 0.8273 0.5769  1 I 3.55, 1 K 3.57, 1 Cs 3.70
I 0.7504 0.3273 0.8962  1 I 3.55, 1 K 3.57, 1 Cs 3.70
I 0.4310 0.3542 0.6038  1 I 3.55, 1 K 3.57, 1 Cs 3.70
I 0.0690 0.1727 0.4231  1 I 3.55, 1 K 3.57, 1 Cs 3.70
I 0.2496 0.6727 0.1038  1 I 3.55, 1 K 3.57, 1 Cs 3.70
I 0.1727 0.1038 0.7496  1 I 3.55, 1 K 3.57, 1 Cs 3.70
I 0.6458 0.0769 0.2496  1 I 3.55, 1 K 3.57, 1 Cs 3.70
I 0.8542 0.6038 0.9310  1 I 3.55, 1 K 3.57, 1 Cs 3.70
I 0.5769 0.3273 0.9310  1 I 3.55, 1 K 3.57, 1 Cs 3.70
I 0.6038 0.8542 0.4310  1 I 3.55, 1 K 3.57, 1 Cs 3.70
I 0.8962 0.8273 0.7504  1 I 3.55, 1 K 3.57, 1 Cs 3.70
I 0.8962 0.0690 0.6458  1 I 3.55, 1 K 3.57, 1 Cs 3.70
I 0.8542 0.2504 0.4231  1 I 3.55, 1 K 3.57, 1 Cs 3.70
I 0.1727 0.0690 0.9231  1 I 3.55, 1 K 3.57, 1 Cs 3.70
I 0.6458 0.5690 0.8962  1 I 3.55, 1 K 3.57, 1 Cs 3.70
I 0.4310 0.0769 0.3273  1 I 3.55, 1 K 3.57, 1 Cs 3.70
I 0.2504 0.3962 0.8273  1 I 3.55, 1 K 3.57, 1 Cs 3.70
I 0.2496 0.5769 0.6458  1 I 3.55, 1 K 3.57, 1 Cs 3.70
I 0.9310 0.1038 0.8542  1 I 3.55, 1 K 3.57, 1 Cs 3.70
I 0.6727 0.2496 0.6038  1 I 3.55, 1 K 3.57, 1 Cs 3.70
I 0.4231 0.7504 0.8542  1 I 3.55, 1 K 3.57, 1 Cs 3.70
I 0.0769 0.4310 0.8273  1 I 3.55, 1 K 3.57, 1 Cs 3.70
I 0.3962 0.2504 0.3273  1 I 3.55, 1 K 3.57, 1 Cs 3.70
I 0.0769 0.6458 0.7496  1 I 3.55, 1 K 3.57, 1 Cs 3.70
I 0.6727 0.4231 0.5690  1 I 3.55, 1 K 3.57, 1 Cs 3.70
I 0.2504 0.8542 0.9231  1 I 3.55, 1 K 3.57, 1 Cs 3.70

---

10.
Density functional theory data (PBE) for Pr6ZnTc2Cl3 after structural relaxation.

**DOS at the Fermi energy**: 0.424 states/eV/atom
**Space-group type**: No. 12
**Raw total energy**: -5.3874 eV/atom
**Volume**: 28.17 A^3/atom

Cell lengths 6.9809, 6.9809, 8.2099 Å; angles 98.65, 98.65, 117.94 degrees
Closest atoms and distances in Å follow each position.
Fractional positions:
Pr 0.9201 0.5653 0.7995  2 Tc 2.77-3.06, 1 Zn 2.98, 1 Cl 3.09
Pr 0.7489 0.7489 0.2432  2 Tc 2.79, 1 Zn 3.06
Pr 0.0799 0.4347 0.2005  2 Tc 2.77-3.06, 1 Zn 2.98, 1 Cl 3.09
Pr 0.5653 0.9201 0.7995  2 Tc 2.77-3.06, 1 Zn 2.98, 1 Cl 3.09
Pr 0.2511 0.2511 0.7568  2 Tc 2.79, 1 Zn 3.06
Pr 0.4347 0.0799 0.2005  2 Tc 2.77-3.06, 1 Zn 2.98, 1 Cl 3.09
Zn 0.0000 0.0000 0.0000  6 Pr 2.98-3.06
Tc 0.3639 0.6361 0.0000  6 Pr 2.77-3.06
Tc 0.6361 0.3639 0.0000  6 Pr 2.77-3.06
Cl 0.1790 0.8210 0.5000  4 Pr 3.09-3.17
Cl 0.8210 0.1790 0.5000  4 Pr 3.09-3.17
Cl 0.5000 0.5000 0.5000  6 Pr 3.14-3.33

---

11.
Density functional theory data (PBE) for TaPd6Pt3 after structural relaxation.

**DOS at the Fermi energy**: 1.117 states/eV/atom
**Space-group type**: No. 11
**Raw total energy**: -6.1646 eV/atom
**Volume**: 17.25 A^3/atom

Cell lengths 4.4249, 9.4857, 9.4490 Å; angles 119.57, 90.00, 90.00 degrees
Closest atoms and distances in Å follow each position.
Fractional positions:
Ta 0.2500 0.3259 0.9986  2 Pt 2.56-2.62, 7 Pd 2.66-2.76
Ta 0.7500 0.6741 0.0014  2 Pt 2.56-2.62, 7 Pd 2.66-2.76
Pd 0.2500 0.3634 0.5124  4 Pt 2.61-2.85, 4 Pd 2.66-2.73
Pd 0.7500 0.6366 0.4876  4 Pt 2.61-2.85, 4 Pd 2.66-2.73
Pd 0.2500 0.8265 0.9754  3 Pt 2.71-2.78, 2 Ta 2.72, 5 Pd 2.75-2.82
Pd 0.7500 0.1735 0.0246  3 Pt 2.71-2.78, 2 Ta 2.72, 5 Pd 2.75-2.82
Pd 0.2500 0.8182 0.5172  5 Pt 2.64-2.77, 3 Pd 2.73-2.79
Pd 0.7500 0.1818 0.4828  5 Pt 2.64-2.77, 3 Pd 2.73-2.79
Pd 0.2500 0.6942 0.1816  3 Ta 2.74-3.04, 3 Pt 2.77-2.85, 5 Pd 2.77-2.84
Pd 0.7500 0.3058 0.8184  3 Ta 2.74-3.04, 3 Pt 2.77-2.85, 5 Pd 2.77-2.84
Pd 0.2500 0.4912 0.8389  3 Ta 2.66-2.76, 5 Pd 2.70-2.84, 3 Pt 2.73-2.90
Pd 0.7500 0.5088 0.1611  3 Ta 2.66-2.76, 5 Pd 2.70-2.84, 3 Pt 2.73-2.90
Pd 0.2500 0.1638 0.1927  4 Pd 2.66-2.82, 4 Pt 2.67-2.96, 1 Ta 2.92
Pd 0.7500 0.8362 0.8073  4 Pd 2.66-2.82, 4 Pt 2.67-2.96, 1 Ta 2.92
Pt 0.2500 0.1419 0.6345  1 Pt 2.69, 7 Pd 2.70-2.90, 1 Ta 2.99
Pt 0.7500 0.8581 0.3655  1 Pt 2.69, 7 Pd 2.70-2.90, 1 Ta 2.99
Pt 0.2500 0.4847 0.3170  8 Pd 2.61-2.85, 1 Ta 2.62
Pt 0.7500 0.5153 0.6830  8 Pd 2.61-2.85, 1 Ta 2.62
Pt 0.2500 0.0153 0.8346  1 Ta 2.56, 6 Pd 2.64-2.78, 1 Pt 2.69
Pt 0.7500 0.9847 0.1654  1 Ta 2.56, 6 Pd 2.64-2.78, 1 Pt 2.69

---

12.
Density functional theory data (PBE) for PuCd2Au after structural relaxation.

**DOS at the Fermi energy**: 3.552 states/eV/atom
**Space-group type**: No. 216
**Raw total energy**: -5.0408 eV/atom
**Volume**: 23.13 A^3/atom

Cell lengths 5.0766, 5.0766, 5.0767 Å; angles 60.00, 60.00, 60.00 degrees
Closest atoms and distances in Å follow each position.
Fractional positions:
Pu 0.5000 0.5000 0.5001  4 Cd 3.11, 4 Au 3.11
Cd 0.0001 0.0001 0.9997  4 Au 3.11, 4 Cd 3.11
Cd 0.2502 0.2502 0.2495  4 Pu 3.11, 4 Cd 3.11
Au 0.7498 0.7498 0.7507  4 Pu 3.11, 4 Cd 3.11

---

> Which value of DOS at the Fermi energy does entry 11 give?

1.117 states/eV/atom

---

> Which formula does entry 12 have?

PuCd2Au